1.
Na5CdIn | PBE | relaxed

a b c (Å): 6.148 6.148 11.938
angles (deg): 102.04 102.04 95.92
Element x y z (fractional)
Na: 0.115 0.885 0.750
Na: 0.425 0.990 0.349
Na: 0.767 0.476 0.535
Na: 0.524 0.233 0.965
In: 0.000 0.000 0.500
Cd: 0.472 0.528 0.750
Na: 0.010 0.575 0.151
Na: 0.575 0.010 0.651
Cd: 0.528 0.472 0.250
Na: 0.885 0.115 0.250
Na: 0.990 0.425 0.849
In: 0.000 0.000 0.000
Na: 0.476 0.767 0.035
Na: 0.233 0.524 0.465

## Properties
ΔE_f: -8 meV per atom
space-group type: C2/c (15)
E_tot: -1.472 eV/atom

***

2.
KCdAg2 | PBE | relaxed

a b c (Å): 2.951 6.889 6.307
angles (deg): 50.00 90.00 90.00
Element x y z (fractional)
K: 0.000 0.000 0.500
Ag: 0.500 0.500 0.000
Cd: 0.500 0.500 0.500
Ag: 0.000 0.000 0.000

## Properties
ΔE_f: 215 meV per atom
space-group type: P2/m (10)
E_tot: -1.714 eV/atom

***

Look up the ΔE_f of the second one.
215 meV per atom